AgTe2As | PBE | relaxed

```
AgTe2As
1.0
0.000 3.631 3.631
3.631 0.000 3.631
3.631 3.631 0.000
Ag Te As
1 2 1
Cartesian
0.000 0.000 0.000
3.631 3.631 3.631
5.447 5.447 5.447
1.816 1.816 1.816
```

Properties
The value obtained for the total magnetization is 0.000 Bohr magnetons per cell. For the raw formation energy, the calculation gives 0.435 eV per atom. The space group is F-43m, No. 216. The calculation puts the total energy at -3.011 eV per atom.

---

ZnCo2Rh | PBE | relaxed

```
ZnCo2Rh
1.0
1.375 -2.186 0.000
1.375 2.186 0.000
0.000 0.000 8.552
Zn Co Rh
1 2 1
Cartesian
0.000 0.000 0.000
1.375 0.000 2.125
1.375 0.000 6.427
0.000 0.000 4.276
```

Properties
The value obtained for the total magnetization is 3.988 Bohr magnetons per cell. The space group is Cmmm, No. 65. The calculation puts the total energy at -5.554 eV per atom. The value obtained for the formation energy is 0.16 eV per atom.

---

Nd5Sm2In | PBE | relaxed

```
Nd5Sm2In
1.0
-2.513 2.513 10.391
2.513 -2.513 10.391
2.513 2.513 -10.391
Nd Sm In
5 2 1
Cartesian
0.000 0.000 0.000
2.513 0.000 2.524
2.513 0.000 7.867
0.000 2.513 2.524
0.000 2.513 7.867
0.000 0.000 5.156
0.000 0.000 15.626
0.000 0.000 10.391
```

Properties
The value obtained for the total magnetization is 0.000 Bohr magnetons per cell. The space group is I4/mmm, No. 139. The calculation puts the total energy at -4.617 eV per atom. The value obtained for the formation energy is -0.11 eV per atom.

---

SnRh2Au2 | PBE | relaxed

```
SnRh2Au2
1.0
6.683 0.000 0.000
0.000 6.683 0.000
0.000 0.000 4.083
Sn Rh Au
2 4 4
Cartesian
0.000 0.000 0.000
3.341 3.341 0.000
0.925 2.417 0.000
2.417 5.758 0.000
4.266 0.925 0.000
5.758 4.266 0.000
1.073 4.415 2.041
2.268 1.073 2.041
4.415 5.609 2.041
5.609 2.268 2.041
```

Properties
The value obtained for the total magnetization is 0.000 Bohr magnetons per cell. The space group is P4/mbm, No. 127. The calculation puts the total energy at -5.090 eV per atom. The value obtained for the formation energy is -0.04 eV per atom.

---

TmAl6Tc | PBE | relaxed

```
TmAl6Tc
1.0
2.883 1.665 6.099
-2.883 1.665 6.099
0.000 -3.330 6.099
Tm Al Tc
1 6 1
Cartesian
0.000 0.000 0.000
-1.505 -0.869 7.452
0.000 -1.738 10.845
-1.505 0.869 10.845
1.505 -0.869 7.452
0.000 1.738 7.452
1.505 0.869 10.845
0.000 0.000 9.148
```

Properties
The value obtained for the total magnetization is 0.000 Bohr magnetons per cell. The space group is R-3m, No. 166. The calculation puts the total energy at -4.523 eV per atom. The value obtained for the formation energy is 0.14 eV per atom.

---

PuU2MnN4 | PBE | relaxed

```
PuU2MnN4
1.0
1.671 -5.705 0.000
1.671 5.705 0.000
0.000 0.000 11.232
Pu U Mn N
2 4 2 8
Cartesian
1.671 4.508 8.424
1.671 -4.508 2.808
1.671 1.505 6.260
1.671 1.505 10.588
1.671 -1.505 0.644
1.671 -1.505 4.972
1.671 3.900 2.808
1.671 -3.900 8.424
0.000 0.000 0.000
0.000 0.000 5.616
1.671 2.587 1.342
1.671 2.587 4.275
1.671 0.628 8.424
1.671 -0.628 2.808
1.671 -2.587 6.958
1.671 -2.587 9.891
```

Properties
The value obtained for the total magnetization is 10.731 Bohr magnetons per cell. For the raw formation energy, the calculation gives -1.114 eV per atom. The space group is Cmcm, No. 63. The calculation puts the total energy at -11.036 eV per atom.

---

Y3FeCl | PBE | relaxed

```
Y3FeCl
1.0
5.245 0.000 0.000
0.000 5.245 0.000
0.000 0.000 5.245
Y Fe Cl
3 1 1
Cartesian
0.000 0.000 2.622
0.000 2.622 0.000
2.622 0.000 0.000
0.000 0.000 0.000
2.622 2.622 2.622
```

Properties
The value obtained for the total magnetization is 0.000 Bohr magnetons per cell. For the raw formation energy, the calculation gives -0.070 eV per atom. The space group is Pm-3m, No. 221. The value obtained for the energy above the lowest structure with this stoichiometry is 0 meV/atom. The calculation puts the total energy at -6.010 eV per atom.

---

TlRu2RhI | PBE | relaxed

```
TlRu2RhI
1.0
4.891 0.000 0.000
0.000 4.891 0.000
0.000 0.000 5.213
Tl Ru Rh I
1 2 1 1
Cartesian
0.000 0.000 0.000
0.000 2.445 2.606
2.445 0.000 2.606
0.000 0.000 2.606
2.445 2.445 0.000
```

Properties
The value obtained for the total magnetization is 4.402 Bohr magnetons per cell. For the raw formation energy, the calculation gives 1.302 eV per atom. The space group is P4/mmm, No. 123. The calculation puts the total energy at -4.662 eV per atom.